[1]
A PBEsol-optimized structure of CuSb3S, computed with meta-GGA SCAN.

a b c (Å): 4.9582 4.9582 4.9582
angles (deg): 90.00 90.00 90.00
With the nearest neighbours (Å) after each atom.
Fractional coordinates of all 5 atoms:
1 Sb 0.0000 0.5000 0.0000  2 Cu 2.48
2 Sb 0.0000 0.0000 0.5000  2 Cu 2.48
3 Sb 0.5000 0.0000 0.0000  2 Cu 2.48
4 S 0.5000 0.5000 0.5000  12 Sb 3.51
5 Cu 0.0000 0.0000 0.0000  6 Sb 2.48

Fermi-level density of states   5.88 states/eV per cell
ΔE_f (raw)   0.67 eV per atom

=====

[2]
A PBEsol-optimized structure of Sr2HgSb, computed with meta-GGA SCAN.

a b c (Å): 5.6011 5.5895 5.6011
angles (deg): 59.93 90.00 120.07
With the nearest neighbours (Å) after each atom.
Fractional coordinates of all 4 atoms:
1 Sr 0.2500 0.5000 0.2500  4 Hg 3.43, 4 Sb 3.43
2 Sr 0.7500 0.5000 0.7500  4 Hg 3.43, 4 Sb 3.43
3 Sb 0.0000 0.0000 0.0000  8 Sr 3.43
4 Hg 0.5000 0.0000 0.5000  8 Sr 3.43

Fermi-level density of states   2.93 states/eV per cell
ΔE_f (raw)   -0.87 eV per atom

=====

[3]
A PBEsol-optimized structure of CaSc2O4, computed with meta-GGA SCAN.

a b c (Å): 3.1294 9.3866 11.0568
angles (deg): 90.00 90.00 90.00
With the nearest neighbours (Å) after each atom.
Fractional coordinates of all 28 atoms:
1 Sc 0.2500 0.5716 0.6119  6 O 2.08-2.15
2 Sc 0.2500 0.0796 0.3927  6 O 2.05-2.17
3 Sc 0.7500 0.4204 0.8927  6 O 2.05-2.17
4 Sc 0.7500 0.4284 0.3881  6 O 2.08-2.15
5 Sc 0.7500 0.9284 0.1119  6 O 2.08-2.15
6 Sc 0.2500 0.5796 0.1073  6 O 2.05-2.17
7 Sc 0.2500 0.0716 0.8881  6 O 2.08-2.15
8 Sc 0.7500 0.9204 0.6073  6 O 2.05-2.17
9 Ca 0.2500 0.2448 0.6528  8 O 2.40-2.63
10 Ca 0.7500 0.7552 0.3472  8 O 2.40-2.63
11 Ca 0.2500 0.7448 0.8472  8 O 2.40-2.63
12 Ca 0.7500 0.2552 0.1528  8 O 2.40-2.63
13 O 0.2500 0.2918 0.3271  3 Sc 2.12-2.13
14 O 0.7500 0.0211 0.2839  3 Sc 2.05-2.09
15 O 0.7500 0.6247 0.9763  3 Sc 2.13-2.17
16 O 0.2500 0.5795 0.4237  3 Sc 2.08-2.15
17 O 0.7500 0.5211 0.2161  3 Sc 2.05-2.09
18 O 0.7500 0.2082 0.8271  3 Sc 2.12-2.13
19 O 0.7500 0.9205 0.9237  3 Sc 2.08-2.15
20 O 0.2500 0.0795 0.0763  3 Sc 2.08-2.15
21 O 0.2500 0.4789 0.7839  3 Sc 2.05-2.09
22 O 0.7500 0.4205 0.5763  3 Sc 2.08-2.15
23 O 0.2500 0.8753 0.4763  3 Sc 2.13-2.17
24 O 0.2500 0.7918 0.1729  3 Sc 2.12-2.13
25 O 0.7500 0.7082 0.6729  3 Sc 2.12-2.13
26 O 0.7500 0.1247 0.5237  3 Sc 2.13-2.17
27 O 0.2500 0.3753 0.0237  3 Sc 2.13-2.17
28 O 0.2500 0.9789 0.7161  3 Sc 2.05-2.09

Fermi-level density of states   0.00 states/eV per cell
ΔE_f (raw)   -3.73 eV per atom

=====

[4]
A PBEsol-optimized structure of MgZr2Br, computed with meta-GGA SCAN.

a b c (Å): 4.9925 4.9925 4.9925
angles (deg): 60.00 60.00 60.00
With the nearest neighbours (Å) after each atom.
Fractional coordinates of all 4 atoms:
1 Br 0.5000 0.5000 0.5000  4 Zr 3.06, 4 Mg 3.06
2 Zr 0.7500 0.7500 0.7500  4 Zr 3.06, 4 Br 3.06
3 Zr 0.0000 0.0000 0.0000  4 Mg 3.06, 4 Zr 3.06
4 Mg 0.2500 0.2500 0.2500  4 Br 3.06, 4 Zr 3.06

Fermi-level density of states   3.02 states/eV per cell
ΔE_f (raw)   0.47 eV per atom

=====

[5]
A PBEsol-optimized structure of MnSi7, computed with meta-GGA SCAN.

a b c (Å): 5.2789 5.2789 5.2789
angles (deg): 60.00 60.00 60.00
With the nearest neighbours (Å) after each atom.
Fractional coordinates of all 8 atoms:
1 Si 0.5000 0.0000 0.0000  10 Si 2.64, 2 Mn 2.64
2 Si 0.5000 0.5000 0.5000  12 Si 2.64
3 Si 0.5000 0.5000 0.0000  2 Mn 2.64, 10 Si 2.64
4 Si 0.0000 0.5000 0.0000  10 Si 2.64, 2 Mn 2.64
5 Si 0.0000 0.5000 0.5000  10 Si 2.64, 2 Mn 2.64
6 Si 0.0000 0.0000 0.5000  10 Si 2.64, 2 Mn 2.64
7 Si 0.5000 0.0000 0.5000  10 Si 2.64, 2 Mn 2.64
8 Mn 0.0000 0.0000 0.0000  12 Si 2.64

Fermi-level density of states   3.23 states/eV per cell
ΔE_f (raw)   0.46 eV per atom

=====

[6]
A PBEsol-optimized structure of Ba2LaPt, computed with meta-GGA SCAN.

a b c (Å): 4.3501 4.3501 10.8214
angles (deg): 78.40 78.40 60.00
With the nearest neighbours (Å) after each atom.
Fractional coordinates of all 4 atoms:
1 La 0.5326 0.5326 0.4023  3 Pt 2.86
2 Ba 0.9688 0.9688 0.0936  3 Pt 3.14
3 Ba 0.7563 0.7563 0.7310  3 La 4.28, 9 Ba 4.35-4.57
4 Pt 0.2423 0.2423 0.2731  3 La 2.86, 3 Ba 3.14

Fermi-level density of states   3.95 states/eV per cell
Energy of formation from the pure elements   -0.6098 eV per atom

=====

Q: What is the formula in the first record?
A: CuSb3S

=====

Q: Look up the Fermi-level density of states of the second one.
A: 2.93 states/eV per cell